# BaSr2Ag PBE optimized geometry
# DOS at the Fermi energy: 9.953 states/eV/cell
# E above lowest polymorph: 2.00 kcal/mol of atoms
# formation energy from the elements: -0.069 eV/atom
# theoretical density: 3.929 g cm⁻³
# final energy: -2.1033 eV/atom
data_BaSr2Ag
_chemical_formula_sum 'Ba2 Sr4 Ag2'
_space_group_name_H-M_alt 'C 1 m 1'
_space_group_IT_number 8
_cell_length_a 14.713
_cell_length_b 4.198
_cell_length_c 6.385
_cell_angle_alpha 90.00
_cell_angle_beta 115.71
_cell_angle_gamma 90.00
loop_
_space_group_symop_operation_xyz
'x,y,z'
'x,-y,z'
'x+1/2,y+1/2,z'
'x+1/2,-y+1/2,z'
loop_
_atom_site_label
_atom_site_type_symbol
_atom_site_fract_x
_atom_site_fract_y
_atom_site_fract_z
Ba1 Ba 0.000 0.000 0.000
Sr1 Sr 0.114 0.500 0.614
Sr2 Sr 0.307 0.500 0.307
Ag1 Ag 0.301 0.000 0.808

# Th2BOs PBE optimized geometry
# DOS at the Fermi energy: 3.694 states/eV/cell
# formation energy from the elements: -0.256 eV/atom
# theoretical density: 12.710 g cm⁻³
# final energy: -8.4431 eV/atom
data_Th2BOs
_chemical_formula_sum 'Th4 B2 Os2'
_space_group_name_H-M_alt 'P 1 21/m 1'
_space_group_IT_number 11
_cell_length_a 5.387
_cell_length_b 4.095
_cell_length_c 8.193
_cell_angle_alpha 90.00
_cell_angle_beta 105.92
_cell_angle_gamma 90.00
loop_
_space_group_symop_operation_xyz
'x,y,z'
'-x,-y,-z'
'-x,y+1/2,-z'
'x,-y+1/2,z'
loop_
_atom_site_label
_atom_site_type_symbol
_atom_site_fract_x
_atom_site_fract_y
_atom_site_fract_z
Th1 Th 0.221 0.250 0.403
Th2 Th 0.254 0.750 0.052
B1 B 0.311 0.750 0.725
Os1 Os 0.224 0.250 0.752